Er2Be3ZnAu4 after structural relaxation, computed with GGA-PBE.

The structure belongs to space group P-4m2 (No. 115); the cell edges are 4.287, 4.287 and 9.357 Å and the angles 90.00°, 90.00° and 90.00°. The inequivalent atoms are Er at (0.000, 0.500, 0.250), Be at (0.000, 0.000, 0.000), Be at (0.000, 0.500, 0.612), Zn at (0.500, 0.500, 0.000), Au at (0.000, 0.000, 0.500), Au at (0.000, 0.500, 0.855) and Au at (0.500, 0.500, 0.500).

For the calculated total energy, the calculation gives -3.924 eV per atom. As for the crystal system: tetragonal. The calculation puts the total magnetization at 0.00 μB per cell. As for the mass density: 11.73 g/cm³.